4
Lattice="1.5469 0.8931 7.3584 -1.5469 0.8931 7.3584 0.0000 -1.7863 7.3584" Properties=species:S:1:pos:R:3 comment="GGA-PBE CoReSe2, relaxed" total_energy_ev_per_atom=-6.306 dos_at_fermi_per_ev_atom=0.856 de_polymorph_mev_per_atom=411 formation_energy_uncorrected_kj_per_mol_fu=125 pbc="T T T"
Co 0.0000 0.0000 0.0000
Re 0.0000 0.0000 11.0376
Se 0.0000 0.0000 5.5757
Se 0.0000 0.0000 16.4996

6
Lattice="6.0314 -1.5539 0.0000 6.0314 1.5539 0.0000 -0.1028 0.0000 8.4921" Properties=species:S:1:pos:R:3 comment="GGA-PBE AlCl, relaxed" total_energy_ev_per_atom=-3.334 dos_at_fermi_per_ev_atom=0.268 formation_energy_uncorrected_kj_per_mol_fu=-104 pbc="T T T"
Al 0.0000 0.0000 0.0000
Al 6.5923 0.0000 6.2438
Al 7.6849 0.0000 1.8205
Cl 2.3461 0.0000 6.0917
Cl 4.3653 0.0000 0.8999
Cl 11.5832 0.0000 4.7720

9
Lattice="3.8172 0.0000 0.0000 0.4371 9.3665 0.0000 0.4784 4.3670 8.4067" Properties=species:S:1:pos:R:3 comment="GGA-PBE ZrS6Cl2, relaxed" total_energy_ev_per_atom=-4.604 dos_at_fermi_per_ev_atom=0.312 formation_energy_uncorrected_kj_per_mol_fu=-428 pbc="T T T"
Zr 0.0000 0.0000 0.0000
S 0.5134 5.6107 6.1966
S 0.6204 9.6205 3.6485
S 2.0382 9.1532 4.8872
S 2.6946 4.5804 3.5195
S 4.1123 4.1130 4.7582
S 4.2193 8.1228 2.2101
Cl 1.8987 1.5747 0.7572
Cl 2.8341 12.1589 7.6495

18
Lattice="6.0695 -4.8265 0.0000 6.0695 4.8265 0.0000 -0.0694 0.0000 6.5618" Properties=species:S:1:pos:R:3 comment="GGA-PBE Pm4S3O2, relaxed" total_energy_ev_per_atom=-7.073 dos_at_fermi_per_ev_atom=0.284 de_polymorph_mev_per_atom=37 formation_energy_uncorrected_kj_per_mol_fu=-2157 pbc="T T T"
Pm 4.6757 3.1106 6.5413
Pm 4.1563 0.7633 2.7773
Pm 7.3592 3.1106 3.3014
Pm 4.1216 -0.7633 6.0583
Pm 7.9481 0.7633 0.5036
Pm 4.7104 -3.1106 3.2604
Pm 7.9134 -0.7633 3.7845
Pm 7.3939 -3.1106 0.0205
S 1.4672 1.1914 3.6907
S 1.5019 -1.1914 0.4097
S 6.0175 1.1225 4.9214
S 6.0522 -1.1225 1.6405
S 10.5677 1.1914 6.1521
S 10.6024 -1.1914 2.8712
O 3.5604 1.2172 0.6121
O 3.5257 -1.2172 3.8930
O 8.5440 1.2172 2.6688
O 8.5093 -1.2172 5.9498

12
Lattice="-2.5379 4.5686 7.6677 2.5379 -4.5686 7.6677 2.5379 4.5686 -7.6677" Properties=species:S:1:pos:R:3 comment="GGA-PBE Nd6YIn5, relaxed" total_energy_ev_per_atom=-4.460 dos_at_fermi_per_ev_atom=0.984 formation_energy_ev_per_atom=-0.396 pbc="T T T"
Nd 2.5379 2.1808 -2.6220
Nd 0.0000 2.1233 0.0000
Nd 2.5379 2.1808 2.6220
Nd 0.0000 2.3878 5.0457
Nd 0.0000 7.0140 0.0000
Nd 0.0000 2.3878 10.2896
Y 0.0000 0.0000 7.6677
In 2.5379 0.0000 0.0000
In 0.0000 0.0000 2.6526
In 2.5379 0.0000 5.3306
In 0.0000 4.5686 2.3371
In 0.0000 0.0000 12.6828

8
Lattice="6.8637 0.0000 0.0000 0.0000 3.9463 0.0000 -2.2534 0.0000 6.4945" Properties=species:S:1:pos:R:3 comment="GGA-PBE TmZr2UAs4, relaxed" total_energy_ev_per_atom=-7.562 dos_at_fermi_per_ev_atom=0.979 formation_energy_ev_per_atom=-1.130 pbc="T T T"
Tm 0.0000 0.0000 0.0000
Zr -1.1267 1.9731 3.2472
Zr 2.3052 0.0000 3.2472
U 3.4318 1.9731 0.0000
As 0.0172 0.0000 4.8027
As 1.1545 1.9731 1.6800
As 3.4558 1.9731 4.8144
As 4.5931 0.0000 1.6918